The following is a GGA-PBEsol calculation of LiMoRh2 after structural relaxation, from Alexandria via LeMat-Bulk.

- Formation energy from the elements: -0.5 eV per formula unit
- ΔE to the lowest computed polymorph: 0.819 kcal/mol of atoms
- Raw total energy: -0.5599 Ry/atom
- Space group: No. 47
- Magnetization: 0.00 Bohr magnetons per cell
- Volume: 53.4 Å³/f.u.

abc: 2.7733 3.4433 5.5907
angles: 90.00 90.00 90.00
With the nearest neighbours (Å) after each atom.
Element x y z (fractional)
Mo 0.5000 0.5000 0.5000  8 Rh 2.64, 2 Mo 2.77, 2 Li 2.80
Rh 0.0000 0.0000 0.7591  4 Li 2.59, 4 Mo 2.64, 4 Rh 2.69-2.90
Rh 0.0000 0.0000 0.2409  4 Li 2.59, 4 Mo 2.64, 4 Rh 2.69-2.90
Li 0.5000 0.5000 0.0000  8 Rh 2.59, 2 Li 2.77, 2 Mo 2.80

The following is a GGA-PBEsol calculation of LiMo2Ru after structural relaxation, from Alexandria via LeMat-Bulk.

- Formation energy from the elements: 1.1 eV per formula unit
- ΔE to the lowest computed polymorph: 0.000 kcal/mol of atoms
- Raw total energy: -0.6348 Ry/atom
- Space group: No. 35
- Magnetization: 0.00 Bohr magnetons per cell
- Volume: 58.9 Å³/f.u.

abc: 2.6509 2.6509 8.9462
angles: 90.00 90.00 110.48
With the nearest neighbours (Å) after each atom.
Element x y z (fractional)
Li 0.5000 0.5000 0.2619  2 Ru 2.65, 4 Li 2.65, 2 Mo 2.86
Mo 0.0000 0.0000 0.9908  6 Mo 2.65-2.69, 2 Li 2.86
Mo 0.5000 0.5000 0.7422  2 Ru 2.60, 6 Mo 2.65-2.69
Ru 0.0000 0.0000 0.5051  2 Mo 2.60, 2 Li 2.65, 4 Ru 2.65

The following is a GGA-PBEsol calculation of LiMoRu2 after structural relaxation, from Alexandria via LeMat-Bulk.

- Formation energy from the elements: 0.8 eV per formula unit
- Raw total energy: -0.6106 Ry/atom
- Space group: No. 10
- Magnetization: 0.00 Bohr magnetons per cell
- Volume: 53.4 Å³/f.u.

abc: 2.6358 4.1208 4.9381
angles: 90.00 94.78 90.00
With the nearest neighbours (Å) after each atom.
Element x y z (fractional)
Li 0.5000 0.5000 0.0000  4 Ru 2.47, 2 Li 2.64, 2 Mo 2.70
Mo 0.0000 0.5000 0.5000  4 Ru 2.57, 2 Mo 2.64, 2 Li 2.70
Ru 0.7436 0.0000 0.7684  2 Li 2.47, 4 Ru 2.56-2.71, 2 Mo 2.57
Ru 0.2564 0.0000 0.2316  2 Li 2.47, 4 Ru 2.56-2.71, 2 Mo 2.57

The following is a GGA-PBEsol calculation of LiMo2Ru after structural relaxation, from Alexandria via LeMat-Bulk.

- Formation energy from the elements: 1.6 eV per formula unit
- ΔE to the lowest computed polymorph: 2.514 kcal/mol of atoms
- Raw total energy: -0.6267 Ry/atom
- Space group: No. 123
- Magnetization: 0.00 Bohr magnetons per cell
- Volume: 60.1 Å³/f.u.

abc: 2.6681 2.6681 8.4483
angles: 90.00 90.00 90.00
With the nearest neighbours (Å) after each atom.
Element x y z (fractional)
Li 0.5000 0.5000 0.5000  4 Li 2.67, 8 Mo 2.98
Mo 0.0000 0.0000 0.7727  4 Mo 2.67, 4 Ru 2.69, 4 Li 2.98
Mo 0.0000 0.0000 0.2273  4 Mo 2.67, 4 Ru 2.69, 4 Li 2.98
Ru 0.5000 0.5000 0.0000  4 Ru 2.67, 8 Mo 2.69

The following is a GGA-PBEsol calculation of LiMo2Ru after structural relaxation, from Alexandria via LeMat-Bulk.

- Formation energy from the elements: 1.2 eV per formula unit
- ΔE to the lowest computed polymorph: 0.417 kcal/mol of atoms
- Raw total energy: -0.6334 Ry/atom
- Space group: No. 47
- Magnetization: 0.00 Bohr magnetons per cell
- Volume: 55.7 Å³/f.u.

abc: 2.6928 3.9735 5.2042
angles: 90.00 90.00 90.00
With the nearest neighbours (Å) after each atom.
Element x y z (fractional)
Li 0.5000 0.5000 0.5000  2 Ru 2.60, 2 Li 2.69, 8 Mo 2.74
Mo 0.0000 0.0000 0.7527  4 Mo 2.57-2.69, 4 Ru 2.72, 4 Li 2.74
Mo 0.0000 0.0000 0.2473  4 Mo 2.57-2.69, 4 Ru 2.72, 4 Li 2.74
Ru 0.5000 0.5000 0.0000  2 Li 2.60, 2 Ru 2.69, 8 Mo 2.72

The following is a GGA-PBEsol calculation of SrLi2MoRu after structural relaxation, from Alexandria via LeMat-Bulk.

- Formation energy from the elements: 4.0 eV per formula unit
- Raw total energy: -0.3489 Ry/atom
- Space group: No. 123
- Magnetization: 0.00 Bohr magnetons per cell
- Volume: 113.3 Å³/f.u.

abc: 4.4835 5.0278 5.0278
angles: 90.00 90.00 90.00
With the nearest neighbours (Å) after each atom.
Element x y z (fractional)
Ru 0.5000 0.0000 0.0000  2 Mo 2.24
Mo 0.0000 0.0000 0.0000  2 Ru 2.24
Li 0.0000 0.0000 0.5000  2 Mo 2.51
Li 0.0000 0.5000 0.0000  2 Mo 2.51
Sr 0.5000 0.5000 0.5000  8 Li 3.37, 4 Ru 3.56